Record 1
NbZnAsSe2 PBE optimized geometry; size of the total moment = 0.0 μB per cell; formation energy from raw total energies = 796 meV/atom; distance to the lowest polymorph of the same formula = 707 meV per atom; space group = P4/mmm; uncorrected energy = -3.797 eV per atom
1.0
4.817 0.000 0.000
0.000 4.817 0.000
0.000 0.000 4.690
Zn Nb As Se
1 1 1 2
direct
0.000 0.000 0.000
0.500 0.500 0.500
0.000 0.000 0.500
0.000 0.500 0.000
0.500 0.000 0.000

Record 2
Ho8As3PtSe4 PBE optimized geometry; size of the total moment = 0.0 μB per cell; formation energy from raw total energies = -1617 meV/atom; space group = R-3m; uncorrected energy = -6.026 eV per atom
1.0
-7.093 -1.435 3.769
1.935 -7.952 0.612
5.104 5.653 2.927
Ho As Pt Se
8 3 1 4
direct
0.243 0.737 0.994
0.243 0.737 0.487
0.254 0.262 0.508
0.750 0.737 0.994
0.250 0.263 0.006
0.746 0.738 0.492
0.757 0.263 0.513
0.757 0.263 0.006
0.500 0.500 0.000
0.500 0.500 0.500
0.000 0.500 0.500
0.000 0.500 0.000
0.500 0.000 0.000
0.500 0.000 0.500
0.000 0.000 0.000
0.000 0.000 0.500

Record 3
Sr3CrPt PBE optimized geometry; size of the total moment = 5.0 μB per cell; distance to the lowest polymorph of the same formula = 0 meV per atom; space group = Pm-3m; energy of formation from the pure elements = 18 meV per atom; uncorrected energy = -4.124 eV per atom
1.0
5.863 0.000 0.000
0.000 5.863 0.000
0.000 0.000 5.863
Sr Pt Cr
3 1 1
direct
0.000 0.500 0.000
0.000 0.000 0.500
0.500 0.000 0.000
0.000 0.000 0.000
0.500 0.500 0.500

Record 4
UTiPd PBE optimized geometry; size of the total moment = 2.4 μB per cell; space group = P4/nmm; energy of formation from the pure elements = -17 meV per atom; uncorrected energy = -8.142 eV per atom
1.0
3.785 0.000 0.000
0.000 3.785 0.000
0.000 0.000 7.816
Pd Ti U
2 2 2
direct
0.000 0.500 0.812
0.500 0.000 0.188
0.000 0.500 0.130
0.500 0.000 0.870
0.500 0.500 0.500
0.000 0.000 0.500

Record 5
La4Ho5 PBE optimized geometry; size of the total moment = 0.0 μB per cell; distance to the lowest polymorph of the same formula = 7 meV per atom; space group = Immm; energy of formation from the pure elements = 37 meV per atom; uncorrected energy = -4.696 eV per atom
1.0
-2.580 -2.195 -1.567
3.249 -0.841 -8.597
3.050 -8.397 2.315
La Ho
4 5
direct
0.358 0.621 0.664
0.358 0.997 0.288
0.642 0.712 0.003
0.642 0.336 0.379
0.000 0.043 0.957
0.000 0.291 0.709
0.000 0.667 0.333
0.299 0.368 0.035
0.701 0.965 0.632

Record 6
Li2DyLu PBE optimized geometry; size of the total moment = 0.0 μB per cell; distance to the lowest polymorph of the same formula = 142 meV per atom; space group = R-3m; energy of formation from the pure elements = 301 meV per atom; uncorrected energy = -2.937 eV per atom
1.0
-2.786 1.711 -0.329
-2.900 -1.484 0.428
-1.590 2.767 11.444
Lu Li Dy
1 2 1
direct
0.000 0.000 0.000
0.088 0.088 0.737
0.912 0.912 0.263
0.500 0.500 0.500

Record 7
Tm2HPt PBE optimized geometry; size of the total moment = 0.0 μB per cell; space group = R-3m; uncorrected energy = -5.325 eV per atom
1.0
3.920 0.000 0.000
1.960 3.395 0.000
1.960 1.132 5.862
H Tm Pt
1 2 1
direct
0.000 0.000 0.000
0.742 0.742 0.773
0.258 0.258 0.227
0.500 0.500 0.500

Record 8
Ba2MoAsRh PBE optimized geometry; size of the total moment = 4.9 μB per cell; space group = P4/mmm; energy of formation from the pure elements = 503 meV per atom; uncorrected energy = -4.832 eV per atom
1.0
-4.087 1.016 4.740
-0.937 -4.466 0.149
4.670 -0.839 4.206
As Mo Rh Ba
1 1 1 2
direct
0.000 0.000 0.000
0.500 0.500 0.500
0.000 0.500 0.000
0.000 0.000 0.500
0.500 0.000 0.000

Record 9
Tb3Pm3Pr2 PBE optimized geometry; size of the total moment = 0.0 μB per cell; distance to the lowest polymorph of the same formula = 0 meV per atom; space group = C2/m; energy of formation from the pure elements = 17 meV per atom; uncorrected energy = -4.696 eV per atom
1.0
-2.131 -0.184 4.673
-2.683 -4.158 -1.387
10.057 -3.840 1.608
Tb Pm Pr
3 3 2
direct
0.624 0.624 0.247
0.376 0.376 0.753
0.500 0.000 0.000
0.123 0.123 0.246
0.000 0.500 0.000
0.877 0.877 0.754
0.750 0.250 0.500
0.250 0.750 0.500

Record 10
MgCuAu14 PBE optimized geometry; size of the total moment = 0.0 μB per cell; space group = P4/mmm; energy of formation from the pure elements = -97 meV per atom; uncorrected energy = -3.320 eV per atom
1.0
-4.279 -2.428 3.362
1.281 -5.368 -2.248
5.300 -1.198 5.882
Mg Cu Au
1 1 14
direct
0.875 0.875 0.500
0.375 0.375 0.500
0.875 0.875 0.000
0.375 0.375 0.000
0.875 0.375 0.500
0.875 0.375 0.000
0.375 0.875 0.500
0.375 0.875 0.000
0.623 0.127 0.257
0.623 0.127 0.743
0.127 0.623 0.257
0.127 0.623 0.743
0.623 0.623 0.257
0.623 0.623 0.743
0.127 0.127 0.257
0.127 0.127 0.743

Record 11
Sb4Se5S PBE optimized geometry; size of the total moment = 0.0 μB per cell; formation energy from raw total energies = -154 meV/atom; space group = Pmmn; uncorrected energy = -3.958 eV per atom
1.0
-2.126 7.673 -2.342
-2.953 -2.978 -7.075
-8.633 -1.145 4.085
Sb Se S
8 10 2
direct
0.921 0.000 0.737
0.459 0.729 0.000
0.459 0.271 0.000
0.921 0.000 0.263
0.079 0.500 0.237
0.541 0.771 0.500
0.541 0.229 0.500
0.079 0.500 0.763
0.260 0.765 0.789
0.260 0.235 0.789
0.920 0.500 0.000
0.260 0.765 0.211
0.260 0.235 0.211
0.740 0.735 0.289
0.740 0.265 0.289
0.080 0.000 0.500
0.740 0.265 0.711
0.740 0.735 0.711
0.587 0.000 0.000
0.413 0.500 0.500

Record 12
PmSb2Mo PBE optimized geometry; size of the total moment = 0.0 μB per cell; formation energy from raw total energies = -13 meV/atom; distance to the lowest polymorph of the same formula = 156 meV per atom; space group = P4/mmm; uncorrected energy = -5.969 eV per atom
1.0
3.714 0.000 0.000
0.000 4.997 0.000
0.000 0.000 4.997
Sb Mo Pm
2 1 1
direct
0.000 0.000 0.500
0.000 0.500 0.000
0.500 0.500 0.500
0.500 0.000 0.000